# 1
Ho2Be4GaIr3 (PBE, relaxed); density = 11.3 Mg/m³; energy of formation = -0.59 eV per atom
1.0
3.845 0.000 0.000
0.000 3.845 0.000
0.000 0.000 10.061
Ir Ga Be Ho
3 1 4 2
Direct
0.000 0.000 0.500 Ir
0.500 0.000 0.872 Ir
0.000 0.500 0.128 Ir
0.500 0.500 0.500 Ga
0.500 0.000 0.639 Be
0.000 0.500 0.361 Be
0.000 0.000 0.000 Be
0.500 0.500 0.000 Be
0.000 0.500 0.758 Ho
0.500 0.000 0.242 Ho



# 2
Ho2Be2GaIr5 (PBE, relaxed); density = 15.3 Mg/m³; energy of formation = -0.75 eV per atom
1.0
-0.724 -2.980 -0.835
0.239 -2.670 9.318
-9.438 2.060 0.832
Ir Be Ga Ho
10 4 2 4
Direct
0.500 0.500 0.000 Ir
0.500 0.000 0.500 Ir
0.500 0.065 0.788 Ir
0.500 0.935 0.212 Ir
0.500 0.712 0.435 Ir
0.500 0.288 0.565 Ir
0.500 0.565 0.712 Ir
0.500 0.212 0.065 Ir
0.500 0.788 0.935 Ir
0.500 0.435 0.288 Ir
0.000 0.123 0.623 Be
0.000 0.377 0.123 Be
0.000 0.877 0.377 Be
0.000 0.623 0.877 Be
0.000 0.000 0.000 Ga
0.000 0.500 0.500 Ga
0.000 0.823 0.677 Ho
0.000 0.177 0.323 Ho
0.000 0.677 0.177 Ho
0.000 0.323 0.823 Ho